1.
7
Lattice="2.361 1.363 8.477 -2.361 1.363 8.477 0.000 -2.727 8.477" Properties=species:S:1:pos:R:3 comment="CaMg2Ag2Sn2 GGA-PBE relaxed" sg="R-3m (166)" formation_enthalpy_0k_kcal_per_mol_atoms=-7.4 crystal_system=trigonal pbc="T T T"
Ca 0.000 0.000 0.000
Mg 0.000 0.000 3.507
Mg 0.000 0.000 21.926
Ag 0.000 0.000 11.144
Ag 0.000 0.000 14.289
Sn 0.000 0.000 6.590
Sn 0.000 0.000 18.842

2.
16
Lattice="4.269 -4.706 0.000 4.269 4.706 0.000 -4.101 0.000 7.510" Properties=species:S:1:pos:R:3 comment="CaPaBiO5 GGA-PBE relaxed" sg="C2/c (15)" formation_energy_uncorrected_mev_per_atom=-2692 crystal_system=monoclinic pbc="T T T"
Ca 1.193 4.210 5.633
Ca 3.243 -4.210 1.878
Pa 2.134 2.353 0.000
Pa 0.084 -2.353 3.755
Bi 1.193 0.811 5.633
Bi 3.243 -0.811 1.878
O -0.050 2.410 6.375
O 3.243 2.663 1.878
O 2.174 0.201 0.023
O 0.124 -0.201 3.778
O 2.435 2.410 4.890
O 2.001 -2.410 2.620
O 4.312 0.201 3.732
O 2.262 -0.201 7.487
O 1.193 -2.663 5.633
O 4.486 -2.410 1.135

3.
7
Lattice="7.262 -2.276 0.000 7.262 2.276 0.000 -4.013 0.000 7.825" Properties=species:S:1:pos:R:3 comment="K2SnBr4 GGA-PBE relaxed" e_above_lowest_polymorph_ev_per_atom=0.000 sg="C2/m (12)" formation_energy_uncorrected_mev_per_atom=-1311 crystal_system=monoclinic pbc="T T T"
K 1.953 0.000 1.364
K 8.558 0.000 6.461
Sn 5.255 0.000 3.912
Br 0.025 0.000 4.145
Br 5.424 0.000 0.962
Br 5.087 0.000 6.863
Br 10.485 0.000 3.679

4.
8
Lattice="3.891 0.000 0.000 0.000 4.815 0.000 0.000 0.000 4.288" Properties=species:S:1:pos:R:3 comment="Be3Pt GGA-PBE relaxed" sg="Pmmn (59)" formation_enthalpy_0k_kcal_per_mol_atoms=-11.5 crystal_system=orthorhombic pbc="T T T"
Be 0.973 0.042 0.691
Be 0.973 2.366 0.691
Be 0.973 3.611 2.826
Be 2.918 1.204 1.462
Be 2.918 2.449 3.597
Be 2.918 4.773 3.597
Pt 0.973 1.204 2.873
Pt 2.918 3.611 1.415

5.
5
Lattice="4.991 0.000 0.000 0.000 4.991 0.000 0.000 0.000 4.991" Properties=species:S:1:pos:R:3 comment="Ag3AsRh GGA-PBE relaxed" e_above_lowest_polymorph_ev_per_atom=0.379 sg="Pm-3m (221)" formation_enthalpy_0k_kcal_per_mol_atoms=27.4 crystal_system=cubic pbc="T T T"
Ag 0.000 0.000 2.496
Ag 0.000 2.496 0.000
Ag 2.496 0.000 0.000
As 2.496 2.496 2.496
Rh 0.000 0.000 0.000

6.
6
Lattice="4.967 0.000 0.000 -2.483 4.301 0.000 0.000 0.000 4.164" Properties=species:S:1:pos:R:3 comment="Fe5Br GGA-PBE relaxed" e_above_lowest_polymorph_ev_per_atom=0.238 sg="P6/mmm (191)" formation_energy_uncorrected_mev_per_atom=638 crystal_system=hexagonal pbc="T T T"
Fe -1.242 2.151 0.000
Fe 0.000 2.868 2.082
Fe 2.483 0.000 0.000
Fe 1.242 2.151 0.000
Fe 2.483 1.434 2.082
Br 0.000 0.000 2.082

7.
4
Lattice="4.309 0.000 0.000 0.000 4.309 0.000 0.000 0.000 4.177" Properties=species:S:1:pos:R:3 comment="LiYGe2 GGA-PBE relaxed" e_above_lowest_polymorph_ev_per_atom=0.074 sg="P4/mmm (123)" formation_enthalpy_0k_kcal_per_mol_atoms=-12.8 crystal_system=tetragonal pbc="T T T"
Li 0.000 0.000 0.000
Y 2.154 2.154 0.000
Ge 0.000 2.154 2.088
Ge 2.154 0.000 2.088

8.
5
Lattice="5.361 0.000 0.000 0.000 5.361 0.000 0.000 0.000 5.913" Properties=species:S:1:pos:R:3 comment="SrTc2SbF GGA-PBE relaxed" sg="P4/mmm (123)" formation_energy_uncorrected_mev_per_atom=2094 crystal_system=tetragonal pbc="T T T"
Sr 0.000 0.000 0.000
Tc 0.000 2.681 0.000
Tc 2.681 0.000 0.000
Sb 0.000 0.000 2.956
F 2.681 2.681 2.956

9.
8
Lattice="4.714 0.000 0.000 0.000 3.180 0.000 -2.348 0.000 6.246" Properties=species:S:1:pos:R:3 comment="BeNb2C GGA-PBE relaxed" e_above_lowest_polymorph_ev_per_atom=0.000 sg="P2_1/m (11)" formation_enthalpy_0k_kcal_per_mol_atoms=-8.0 crystal_system=monoclinic pbc="T T T"
Be 0.085 0.795 1.738
Be 2.281 2.385 4.508
Nb -1.116 0.795 5.829
Nb 0.024 2.385 3.619
Nb 2.342 0.795 2.627
Nb 3.482 2.385 0.417
C 1.069 2.385 1.371
C 1.297 0.795 4.875

10.
5
Lattice="4.900 0.000 0.000 0.000 4.900 0.000 0.000 0.000 4.900" Properties=species:S:1:pos:R:3 comment="Y3SnC GGA-PBE relaxed" sg="Pm-3m (221)" formation_enthalpy_0k_kcal_per_mol_atoms=-15.2 crystal_system=cubic pbc="T T T"
Y 0.000 0.000 2.450
Y 0.000 2.450 0.000
Y 2.450 0.000 0.000
Sn 2.450 2.450 2.450
C 0.000 0.000 0.000

11.
4
Lattice="3.600 0.000 0.000 0.000 3.698 0.000 0.000 0.000 7.022" Properties=species:S:1:pos:R:3 comment="CoAs2Br GGA-PBE relaxed" e_above_lowest_polymorph_ev_per_atom=0.695 sg="Pmmm (47)" formation_energy_uncorrected_mev_per_atom=570 crystal_system=orthorhombic pbc="T T T"
Co 0.000 0.000 0.000
As 0.000 1.849 3.511
As 1.800 0.000 3.511
Br 1.800 1.849 0.000

12.
14
Lattice="5.597 -2.192 0.000 5.597 2.192 0.000 -4.961 0.000 14.103" Properties=species:S:1:pos:R:3 comment="Sr3PRh3 GGA-PBE relaxed" sg="C2/m (12)" formation_enthalpy_0k_kcal_per_mol_atoms=-12.6 crystal_system=monoclinic pbc="T T T"
Sr -1.744 0.000 5.394
Sr -3.412 0.000 13.056
Sr 1.579 0.000 3.170
Sr 4.655 0.000 10.934
Sr 9.646 0.000 1.048
Sr 7.978 0.000 8.709
P -0.028 0.000 8.544
P 6.262 0.000 5.560
Rh 1.023 0.000 6.457
Rh 0.122 0.000 12.932
Rh 1.072 0.000 10.544
Rh 5.162 0.000 3.560
Rh 6.112 0.000 1.171
Rh 5.211 0.000 7.647